# 1
A plane-wave DFT calculation with PBE-GGA was carried out for an optimized crystal structure of NaCd2NiHg.

The magnetization is 0.000 μB/atom. The formation enthalpy at 0 K is 0.01 eV/atom.

It has space group P4/mmm (No. 123), with a = 4.957 Å, b = 4.957 Å, c = 5.009 Å, α = 90.00°, β = 90.00° and γ = 90.00°. The inequivalent atoms are Na at (0.000, 0.000, 0.000), Cd at (0.000, 0.500, 0.500), Ni at (0.500, 0.500, 0.500) and Hg at (0.500, 0.500, 0.000).

# 2
A plane-wave DFT calculation with PBE-GGA was carried out for an optimized crystal structure of VAs2PdSe.

The calculation puts the formation energy (no corrections) at 0.304 eV per atom. The value obtained for the excess energy over the best structure of this formula in the dataset is 0 meV per atom. The magnetization is 0.000 μB/atom.

It has space group P4/mmm (No. 123), with a = 4.725 Å, b = 4.725 Å, c = 4.696 Å, α = 90.00°, β = 90.00° and γ = 90.00°. The inequivalent atoms are V at (0.000, 0.000, 0.000), As at (0.000, 0.500, 0.000), Pd at (0.500, 0.500, 0.500) and Se at (0.000, 0.000, 0.500).

# 3
A plane-wave DFT calculation with PBE-GGA was carried out for an optimized crystal structure of CsGaAsAu.

The magnetization is 0.000 μB/atom. The formation enthalpy at 0 K is -0.27 eV/atom.

It has space group P4/nmm (No. 129, origin choice 2), with a = 4.277 Å, b = 4.277 Å, c = 13.441 Å, α = 90.00°, β = 90.00° and γ = 90.00°. The inequivalent atoms are Cs at (0.250, 0.250, 0.217), Ga at (0.250, 0.750, 0.500), As at (0.250, 0.250, 0.609) and Au at (0.250, 0.750, 0.000).